An optimized crystal structure of AgSbIr3. Source: the Alexandria database, functional GGA-PBE.

SG: Pm-3m, No. 221
Raw formation energy in eV/atom: 1.6368
D(E_F) in states/eV per atom: 1.060
E_tot in eV/atom: -5.075
E above lowest polymorph in meV per atom: 0

Unit cell a=4.853 b=4.853 c=4.853 alpha=90.00 beta=90.00 gamma=90.00
Atoms (fractional coordinates):
Ag1 0.000 0.000 0.000
Sb1 0.500 0.500 0.500
Ir1 0.000 0.500 0.500
Ir2 0.500 0.000 0.500
Ir3 0.500 0.500 0.000